Compound: ErFe2Cl6
Source: the Alexandria database
Functional: PBE-GGA
Structure: optimized geometry

a = 12.613 Å, b = 11.487 Å, c = 6.855 Å
α = 90.00°, β = 100.74°, γ = 90.00°
Space group C2/c (No. 15)
Symmetry-distinct sites (fractional):
Er 0.000 0.109 0.250
Fe 0.185 0.426 0.310
Cl 0.115 0.071 0.615
Cl 0.130 0.251 0.139
Cl 0.134 0.418 0.611

Properties
Formation energy from raw total energies   -112.75 kJ/mol of atoms



Compound: LiInSnHg
Source: the Alexandria database
Functional: PBE-GGA
Structure: optimized geometry

a = 7.245 Å, b = 7.245 Å, c = 7.245 Å
α = 90.00°, β = 90.00°, γ = 90.00°
Space group F-43m (No. 216)
Symmetry-distinct sites (fractional):
Li 0.000 0.000 0.000
In 0.000 0.000 0.500
Sn 0.250 0.250 0.750
Hg 0.250 0.250 0.250

Properties
Energy relative to the elements   -0.131 eV per atom



Compound: AcHo5In3
Source: the Alexandria database
Functional: PBE-GGA
Structure: optimized geometry

a = 9.4510 Å, b = 9.4510 Å, c = 6.8389 Å
α = 90.00°, β = 90.00°, γ = 120.00°
Space group P6_3/mcm (No. 193)
Symmetry-distinct sites (fractional):
Ac 0.0000 0.0000 0.0000
Ho 0.0000 0.3346 0.2500
Ho 0.3333 0.6667 0.0000
In 0.0000 0.3418 0.7500

Properties
Energy relative to the elements   -0.303 eV per atom



Compound: Ac3Hg2Rh4
Source: the Alexandria database
Functional: PBE-GGA
Structure: optimized geometry

a = 10.600 Å, b = 4.635 Å, c = 9.007 Å
α = 90.00°, β = 93.76°, γ = 90.00°
Space group C2/m (No. 12)
Symmetry-distinct sites (fractional):
Ac 0.000 0.000 0.000
Ac 0.130 0.500 0.376
Hg 0.174 0.500 0.776
Rh 0.078 0.000 0.627
Rh 0.234 0.500 0.085

Properties
Energy relative to the elements   -0.516 eV per atom



Compound: NbSnPd2
Source: the Alexandria database
Functional: PBE-GGA
Structure: optimized geometry

a = 4.035 Å, b = 4.035 Å, c = 18.668 Å
α = 90.00°, β = 90.00°, γ = 90.00°
Space group I-42d (No. 122)
Symmetry-distinct sites (fractional):
Nb 0.000 0.000 0.000
Sn 0.000 0.000 0.500
Pd 0.247 0.250 0.125

Properties
Energy relative to the elements   -0.024 eV per atom



Compound: AcPdPbO
Source: the Alexandria database
Functional: PBE-GGA
Structure: optimized geometry

a = 3.572 Å, b = 3.572 Å, c = 15.248 Å
α = 90.00°, β = 90.00°, γ = 90.00°
Space group I4mm (No. 107)
Symmetry-distinct sites (fractional):
Ac 0.000 0.000 0.000
Pd 0.000 0.000 0.651
Pb 0.000 0.000 0.249
O 0.000 0.000 0.480

Properties
Formation energy from raw total energies   -132.87 kJ/mol of atoms



Compound: SrCa2P
Source: the Alexandria database
Functional: PBE-GGA
Structure: optimized geometry

a = 4.2182 Å, b = 4.2182 Å, c = 31.1808 Å
α = 90.00°, β = 90.00°, γ = 120.00°
Space group R-3m (No. 166, hexagonal axes)
Symmetry-distinct sites (fractional):
Sr 0.0000 0.0000 0.0000
Ca 0.0000 0.0000 0.2132
P 0.0000 0.0000 0.5000

Properties
Energy relative to the elements   -0.633 eV per atom



Compound: Y3TmSc
Source: the Alexandria database
Functional: PBE-GGA
Structure: optimized geometry

a = 3.490 Å, b = 17.232 Å, c = 10.447 Å
α = 90.00°, β = 90.00°, γ = 90.00°
Space group Cmcm (No. 63)
Symmetry-distinct sites (fractional):
Y 0.000 0.000 0.000
Y 0.000 0.327 0.061
Tm 0.000 0.147 0.250
Sc 0.000 0.478 0.250

Properties
Energy relative to the elements   0.174 eV per atom



Compound: Na5In2Ag
Source: the Alexandria database
Functional: PBE-GGA
Structure: optimized geometry

a = 8.031 Å, b = 15.060 Å, c = 3.638 Å
α = 90.00°, β = 90.00°, γ = 90.00°
Space group Pbam (No. 55)
Symmetry-distinct sites (fractional):
Na 0.000 0.000 0.000
Na 0.016 0.233 0.000
Na 0.216 0.385 0.500
In 0.206 0.614 0.500
Ag 0.000 0.500 0.000

Properties
Energy relative to the elements   -0.049 eV per atom
Energy above the most stable polymorph in this dataset   0.006 eV per atom



Compound: LiAlGe
Source: the Alexandria database
Functional: PBE-GGA
Structure: optimized geometry

a = 2.981 Å, b = 12.857 Å, c = 5.295 Å
α = 90.00°, β = 90.00°, γ = 90.00°
Space group Cmcm (No. 63)
Symmetry-distinct sites (fractional):
Li 0.000 0.000 0.000
Al 0.000 0.313 0.250
Ge 0.000 0.360 0.750

Properties
Energy relative to the elements   -0.139 eV per atom



Compound: AgH
Source: the Alexandria database
Functional: PBE-GGA
Structure: optimized geometry

a = 2.853 Å, b = 2.853 Å, c = 5.608 Å
α = 90.00°, β = 90.00°, γ = 90.00°
Space group I4/mmm (No. 139)
Symmetry-distinct sites (fractional):
Ag 0.000 0.000 0.000
H 0.000 0.000 0.500

Properties
Energy above the most stable polymorph in this dataset   0.108 eV per atom



Compound: KAsI2O
Source: the Alexandria database
Functional: PBE-GGA
Structure: optimized geometry

a = 6.076 Å, b = 6.076 Å, c = 3.917 Å
α = 90.00°, β = 90.00°, γ = 90.00°
Space group P4/mmm (No. 123)
Symmetry-distinct sites (fractional):
K 0.000 0.000 0.000
As 0.500 0.500 0.500
I 0.000 0.500 0.500
O 0.500 0.500 0.000

Properties
Formation energy from raw total energies   -71.88 kJ/mol of atoms
Energy above the most stable polymorph in this dataset   0.000 eV per atom



| no. | total DFT energy (no corrections) (eV/cell) |
| --- | --- |
| 1 | -172.341 |
| 2 | -37.919 |
| 3 | -75.881 |
| 4 | -93.960 |
| 5 | -98.211 |
| 6 | -46.952 |
| 7 | -40.878 |
| 8 | -117.297 |
| 9 | -30.634 |
| 10 | -42.764 |
| 11 | -11.168 |
| 12 | -17.530 |